Entry 1:
Material: Ho3Hg
Method: DFT, PBE
State: optimized geometry

```
Ho3Hg
1.0
-2.727 -2.365 -3.138
3.317 -3.434 -0.294
-2.108 -2.343 3.598
Hg Ho
1 3
direct
0.500 0.500 0.500
0.500 0.000 0.000
0.000 0.500 0.000
0.000 0.000 0.500
```

## Properties
**Relative energy among the computed polymorphs**: 79 meV/atom
**Raw total energy**: -3.66 eV per atom
**E_form**: -3.5 kcal/mol of atoms
**Space-group type**: No. 221
**Crystal system**: cubic

Entry 2:
Material: Ho5Hg3
Method: DFT, PBE
State: optimized geometry

```
Ho5Hg3
1.0
-0.391 0.102 3.629
-1.191 -3.451 -0.031
15.304 -5.297 1.798
Ho Hg
5 3
direct
0.000 0.000 0.232
0.500 0.500 0.618
0.500 0.500 0.382
0.000 0.000 0.768
0.000 0.000 0.000
0.500 0.500 0.116
0.500 0.500 0.884
0.000 0.000 0.500
```

## Properties
**Raw total energy**: -3.31 eV per atom
**E_form**: -7.8 kcal/mol of atoms
**Space-group type**: No. 123
**Crystal system**: tetragonal

Entry 3:
Material: Ho2Hg3
Method: DFT, PBE
State: optimized geometry

```
Ho2Hg3
1.0
-1.995 -4.410 0.977
1.021 -2.283 4.258
-4.974 0.436 4.290
Ho Hg
2 3
direct
0.403 0.403 0.792
0.597 0.597 0.208
0.000 0.000 0.000
0.802 0.802 0.594
0.198 0.198 0.406
```

## Properties
**Raw total energy**: -2.39 eV per atom
**E_form**: -8.7 kcal/mol of atoms
**Space-group type**: No. 166
**Crystal system**: trigonal

Entry 4:
Material: HoHg
Method: DFT, PBE
State: optimized geometry

```
HoHg
1.0
3.707 0.000 0.000
0.000 3.707 0.000
0.000 0.000 3.707
Hg Ho
1 1
direct
0.500 0.500 0.500
0.000 0.000 0.000
```

## Properties
**Raw total energy**: -2.92 eV per atom
**E_form**: -11.1 kcal/mol of atoms
**Space-group type**: No. 221
**Crystal system**: cubic

Entry 5:
Material: Ho3Hg8
Method: DFT, PBE
State: optimized geometry

```
Ho3Hg8
1.0
4.910 0.000 1.078
2.337 4.318 1.078
-0.139 -0.083 12.351
Ho Hg
3 8
direct
0.000 0.000 0.000
0.550 0.550 0.351
0.450 0.450 0.649
0.638 0.638 0.087
0.362 0.362 0.913
0.729 0.729 0.814
0.271 0.271 0.186
0.828 0.828 0.516
0.172 0.172 0.484
0.913 0.913 0.261
0.087 0.087 0.739
```

## Properties
**Raw total energy**: -1.78 eV per atom
**E_form**: -7.1 kcal/mol of atoms
**Space-group type**: No. 166
**Crystal system**: trigonal

Entry 6:
Material: Ho5Hg2
Method: DFT, PBE
State: optimized geometry

```
Ho5Hg2
1.0
7.308 0.000 0.000
0.000 6.711 0.364
-3.654 -0.606 8.071
Ho Hg
10 4
direct
0.241 0.507 0.186
0.055 0.993 0.814
0.240 0.739 0.544
0.696 0.761 0.456
0.760 0.261 0.456
0.304 0.239 0.544
0.945 0.007 0.186
0.759 0.493 0.814
0.495 0.250 0.000
0.505 0.750 0.000
0.135 0.485 0.774
0.361 0.015 0.226
0.865 0.515 0.226
0.639 0.985 0.774
```

## Properties
**Raw total energy**: -3.60 eV per atom
**E_form**: -5.6 kcal/mol of atoms
**Space-group type**: No. 15
**Crystal system**: monoclinic

Entry 7:
Material: HoHg4
Method: DFT, PBE
State: optimized geometry

```
HoHg4
1.0
0.071 -2.340 4.544
4.112 -2.211 1.672
3.260 3.184 4.464
Ho Hg
1 4
direct
0.000 0.000 0.000
0.796 0.793 0.614
0.204 0.207 0.386
0.402 0.406 0.790
0.598 0.594 0.210
```

## Properties
**Relative energy among the computed polymorphs**: 0 meV/atom
**Raw total energy**: -1.36 eV per atom
**E_form**: -4.6 kcal/mol of atoms
**Space-group type**: No. 12
**Crystal system**: monoclinic

Entry 8:
Material: Ho5Hg6
Method: DFT, PBE
State: optimized geometry

```
Ho5Hg6
1.0
4.911 0.005 -1.520
-0.854 6.821 -2.736
0.091 -0.397 8.986
Ho Hg
5 6
direct
0.000 0.500 0.000
0.671 0.671 0.341
0.329 0.329 0.659
0.347 0.847 0.693
0.653 0.153 0.307
0.500 0.740 0.000
0.500 0.260 0.000
0.834 0.083 0.668
0.834 0.585 0.668
0.166 0.917 0.332
0.166 0.415 0.332
```

## Properties
**Raw total energy**: -2.63 eV per atom
**E_form**: -9.0 kcal/mol of atoms
**Space-group type**: No. 71
**Crystal system**: orthorhombic

Entry 9:
Material: Ho3Hg
Method: DFT, PBE
State: optimized geometry

```
Ho3Hg
1.0
3.775 0.000 0.000
0.000 5.301 0.000
-1.888 -2.650 5.663
Hg Ho
1 3
direct
0.000 0.917 0.000
0.280 0.696 0.559
0.500 0.417 0.000
0.720 0.137 0.441
```

## Properties
**Relative energy among the computed polymorphs**: 0 meV/atom
**Raw total energy**: -3.74 eV per atom
**E_form**: -5.3 kcal/mol of atoms
**Space-group type**: No. 71
**Crystal system**: orthorhombic

Entry 10:
Material: HoHg4
Method: DFT, PBE
State: optimized geometry

```
HoHg4
1.0
-2.143 -5.590 -0.223
0.049 -0.257 5.985
-5.594 2.139 0.138
Ho Hg
1 4
direct
0.500 0.500 0.500
0.000 0.000 0.000
0.500 0.000 0.500
0.000 0.500 0.500
0.500 0.500 0.000
```

## Properties
**Relative energy among the computed polymorphs**: 473 meV/atom
**Raw total energy**: -0.88 eV per atom
**E_form**: 6.3 kcal/mol of atoms
**Space-group type**: No. 221
**Crystal system**: cubic

Entry 11:
Material: HoHg5
Method: DFT, PBE
State: optimized geometry

```
HoHg5
1.0
4.835 0.000 0.000
0.000 4.442 0.000
0.000 -2.221 6.817
Hg Ho
5 1
direct
0.500 0.837 0.674
0.000 0.667 0.335
0.500 0.500 0.000
0.000 0.333 0.665
0.500 0.163 0.326
0.000 0.000 0.000
```

## Properties
**Raw total energy**: -1.22 eV per atom
**E_form**: -4.7 kcal/mol of atoms
**Space-group type**: No. 65
**Crystal system**: orthorhombic

Entry 12:
Material: Ho2Hg
Method: DFT, PBE
State: optimized geometry

```
Ho2Hg
1.0
5.093 0.000 0.000
0.000 7.013 0.000
0.000 0.000 9.190
Ho Hg
8 4
direct
0.750 0.484 0.696
0.250 0.016 0.196
0.750 0.984 0.804
0.250 0.516 0.304
0.750 0.329 0.075
0.250 0.171 0.575
0.750 0.829 0.425
0.250 0.671 0.925
0.750 0.763 0.100
0.250 0.737 0.600
0.750 0.263 0.400
0.250 0.237 0.900
```

## Properties
**Raw total energy**: -3.52 eV per atom
**E_form**: -8.4 kcal/mol of atoms
**Space-group type**: No. 62
**Crystal system**: orthorhombic